Compound: TmMg2Zn2Au2
Source: Alexandria via LeMat-Bulk
Functional: PBE-GGA
Structure: relaxed

```
TmMg2Zn2Au2
1.0
4.5408 0.0000 0.0000
2.2704 3.9325 0.0000
2.2704 1.3108 7.7018
Au Tm Mg Zn
2 1 2 2
Cartesian
6.8112 3.9325 5.9277
2.2704 1.3108 1.7741
0.0000 0.0000 0.0000
2.2704 1.3108 4.6040
6.8112 3.9325 3.0977
4.5408 2.6216 6.0599
4.5408 2.6216 1.6418
```

Values from the calculation:
* ΔH_f (0 K): -485 meV per atom